No. 1
Zr2SnW2 | meta-GGA SCAN | PBEsol geometry

Lattice parameters (Å, degrees): 8.7685 8.7685 8.7685 156.51 156.51 33.46
With the nearest neighbours (Å) after each atom.
Element x y z (fractional)
1 Zr 0.1087 0.1087 0.0000  4 W 2.97, 4 Sn 3.11
2 Zr 0.8913 0.8913 0.0000  4 W 2.97, 4 Sn 3.11
3 Sn 0.5000 0.5000 0.0000  8 Zr 3.11
4 W 0.2500 0.7500 0.5000  4 W 2.52
5 W 0.7500 0.2500 0.5000  4 W 2.52

Values from the calculation:
As for the symmetry: I4/mmm (139). As for the energy of formation: 342 meV per atom.


No. 2
ScTl3Co | meta-GGA SCAN | PBEsol geometry

Lattice parameters (Å, degrees): 5.4239 5.4239 5.4239 90.00 90.00 90.00
With the nearest neighbours (Å) after each atom.
Element x y z (fractional)
1 Sc 0.0000 0.0000 0.0000  6 Tl 2.71
2 Tl 0.0000 0.0000 0.5000  2 Sc 2.71
3 Tl 0.0000 0.5000 0.0000  2 Sc 2.71
4 Tl 0.5000 0.0000 0.0000  2 Sc 2.71
5 Co 0.5000 0.5000 0.5000  12 Tl 3.84

Values from the calculation:
As for the symmetry: Pm-3m (221). As for the energy of formation: 1007 meV per atom.


No. 3
CdAgRh2 | meta-GGA SCAN | PBEsol geometry

Lattice parameters (Å, degrees): 2.7362 2.7362 9.3117 90.00 90.00 117.38
With the nearest neighbours (Å) after each atom.
Element x y z (fractional)
1 Cd 0.0000 0.0000 0.0000  4 Rh 2.73, 6 Cd 2.74-2.84
2 Ag 0.0000 0.0000 0.5000  4 Rh 2.73, 6 Ag 2.74-2.84
3 Rh 0.5000 0.5000 0.2499  2 Cd 2.73, 2 Ag 2.73, 6 Rh 2.74-2.84
4 Rh 0.5000 0.5000 0.7501  2 Cd 2.73, 2 Ag 2.73, 6 Rh 2.74-2.84

Values from the calculation:
As for the symmetry: Cmmm (65). As for the energy of formation: 205 meV per atom.


No. 4
CrNi2 | meta-GGA SCAN | PBEsol geometry

Lattice parameters (Å, degrees): 4.9787 3.3974 7.4695 90.00 90.00 90.00
With the nearest neighbours (Å) after each atom.
Element x y z (fractional)
1 Cr 0.1155 0.2500 0.0761  2 Cr 2.35, 10 Ni 2.44-2.53
2 Cr 0.3845 0.7500 0.5761  2 Cr 2.35, 10 Ni 2.44-2.53
3 Cr 0.6155 0.2500 0.4239  2 Cr 2.35, 10 Ni 2.44-2.53
4 Cr 0.8845 0.7500 0.9239  2 Cr 2.35, 10 Ni 2.44-2.53
5 Ni 0.1204 0.2500 0.4148  7 Ni 2.43-2.50, 5 Cr 2.46-2.53
6 Ni 0.1348 0.2500 0.7500  7 Ni 2.43-2.50, 5 Cr 2.44-2.48
7 Ni 0.3652 0.7500 0.2500  7 Ni 2.43-2.50, 5 Cr 2.44-2.48
8 Ni 0.3796 0.7500 0.9148  7 Ni 2.43-2.50, 5 Cr 2.46-2.53
9 Ni 0.6204 0.2500 0.0852  7 Ni 2.43-2.50, 5 Cr 2.46-2.53
10 Ni 0.6348 0.2500 0.7500  7 Ni 2.43-2.50, 5 Cr 2.44-2.48
11 Ni 0.8652 0.7500 0.2500  7 Ni 2.43-2.50, 5 Cr 2.44-2.48
12 Ni 0.8796 0.7500 0.5852  7 Ni 2.43-2.50, 5 Cr 2.46-2.53

Values from the calculation:
As for the symmetry: Pnma (62). As for the energy of formation: 79 meV per atom.


No. 5
In3Te | meta-GGA SCAN | PBEsol geometry

Lattice parameters (Å, degrees): 6.2795 6.2795 6.2795 143.75 132.04 61.57
With the nearest neighbours (Å) after each atom.
Element x y z (fractional)
1 In 0.0000 0.0000 0.0000  4 Te 3.21, 4 In 3.41
2 In 0.2589 0.7589 0.5000  6 In 3.22-3.41, 2 Te 3.25
3 In 0.7411 0.2411 0.5000  6 In 3.22-3.41, 2 Te 3.25
4 Te 0.5000 0.5000 0.0000  8 In 3.21-3.25

Values from the calculation:
As for the symmetry: Immm (71). Its raw formation energy is -0.02 eV/atom.


No. 6
Cs2RbInCl6 | meta-GGA SCAN | PBEsol geometry

Lattice parameters (Å, degrees): 7.8364 7.8364 7.8364 60.00 60.00 60.00
With the nearest neighbours (Å) after each atom.
Element x y z (fractional)
1 Cs 0.2500 0.2500 0.2500  12 Cl 3.93
2 Cs 0.7500 0.7500 0.7500  12 Cl 3.93
3 Rb 0.0000 0.0000 0.0000  6 Cl 3.03
4 In 0.5000 0.5000 0.5000  6 Cl 2.51
5 Cl 0.2737 0.2737 0.7263  1 In 2.51
6 Cl 0.2737 0.7263 0.2737  1 In 2.51
7 Cl 0.2737 0.7263 0.7263  1 In 2.51
8 Cl 0.7263 0.2737 0.2737  1 In 2.51
9 Cl 0.7263 0.2737 0.7263  1 In 2.51
10 Cl 0.7263 0.7263 0.2737  1 In 2.51

Values from the calculation:
As for the symmetry: Fm-3m (225). Its raw formation energy is -1.89 eV/atom.


No. 7
Nb4CuC2S4 | meta-GGA SCAN | PBEsol geometry

Lattice parameters (Å, degrees): 3.2877 3.2877 17.6731 90.00 90.00 120.00
With the nearest neighbours (Å) after each atom.
Element x y z (fractional)
1 Nb 0.0000 0.0000 0.0000  3 C 2.21
2 Nb 0.0000 0.0000 0.4820  3 C 2.23, 3 S 2.50
3 Nb 0.6667 0.3333 0.1313  3 C 2.24, 3 S 2.49
4 Nb 0.6667 0.3333 0.6145  3 C 2.23
5 Cu 0.0000 0.0000 0.8301  4 S 2.16-2.27
6 C 0.3333 0.6667 0.0643  6 Nb 2.21-2.24
7 C 0.3333 0.6667 0.5487  6 Nb 2.23
8 S 0.0000 0.0000 0.2225  3 Nb 2.49
9 S 0.0000 0.0000 0.7077  1 Cu 2.16
10 S 0.6667 0.3333 0.3902  3 Nb 2.50
11 S 0.6667 0.3333 0.9010  3 Cu 2.27

Values from the calculation:
As for the symmetry: P3m1 (156). Its raw formation energy is -0.84 eV/atom.


No. 8
Zr8Al2Ni | meta-GGA SCAN | PBEsol geometry

Lattice parameters (Å, degrees): 4.3014 4.3014 12.0115 90.00 90.00 90.00
With the nearest neighbours (Å) after each atom.
Element x y z (fractional)
1 Zr 0.0000 0.0000 0.1833  4 Al 3.04, 8 Zr 3.05-3.08
2 Zr 0.0000 0.0000 0.8167  4 Al 3.04, 8 Zr 3.05-3.08
3 Zr 0.0000 0.5000 0.0000  8 Zr 3.04-3.08, 4 Al 3.09
4 Zr 0.0000 0.5000 0.3638  2 Ni 2.70
5 Zr 0.0000 0.5000 0.6362  2 Ni 2.70
6 Zr 0.5000 0.0000 0.0000  8 Zr 3.04-3.08, 4 Al 3.09
7 Zr 0.5000 0.0000 0.3638  2 Ni 2.70
8 Zr 0.5000 0.0000 0.6362  2 Ni 2.70
9 Al 0.5000 0.5000 0.1849  12 Zr 3.04-3.09
10 Al 0.5000 0.5000 0.8151  12 Zr 3.04-3.09
11 Ni 0.5000 0.5000 0.5000  8 Zr 2.70

Values from the calculation:
As for the symmetry: P4/mmm (123). As for the energy of formation: -217 meV per atom.


No. 9
MnZnCu2 | meta-GGA SCAN | PBEsol geometry

Lattice parameters (Å, degrees): 2.6088 3.5174 5.3199 90.00 90.00 90.00
With the nearest neighbours (Å) after each atom.
Element x y z (fractional)
1 Mn 0.0000 0.0000 0.0000  8 Cu 2.56, 2 Mn 2.61, 2 Zn 2.66
2 Zn 0.0000 0.0000 0.5000  8 Cu 2.57, 2 Zn 2.61, 2 Mn 2.66
3 Cu 0.5000 0.5000 0.2478  4 Mn 2.56, 4 Zn 2.57, 4 Cu 2.61-2.68
4 Cu 0.5000 0.5000 0.7522  4 Mn 2.56, 4 Zn 2.57, 4 Cu 2.61-2.68

Values from the calculation:
As for the symmetry: Pmmm (47). As for the energy of formation: -81 meV per atom.


No. 10
MgSc3 | meta-GGA SCAN | PBEsol geometry

Lattice parameters (Å, degrees): 6.4387 6.4387 5.1922 90.00 90.00 120.00
With the nearest neighbours (Å) after each atom.
Element x y z (fractional)
1 Mg 0.3333 0.6667 0.2500  12 Sc 3.19-3.22
2 Mg 0.6667 0.3333 0.7500  12 Sc 3.19-3.22
3 Sc 0.1670 0.3341 0.7500  4 Mg 3.19-3.22, 8 Sc 3.20-3.23
4 Sc 0.1670 0.8330 0.7500  4 Mg 3.19-3.22, 8 Sc 3.20-3.23
5 Sc 0.3341 0.1670 0.2500  4 Mg 3.19-3.22, 8 Sc 3.20-3.23
6 Sc 0.6659 0.8330 0.7500  4 Mg 3.19-3.22, 8 Sc 3.20-3.23
7 Sc 0.8330 0.1670 0.2500  4 Mg 3.19-3.22, 8 Sc 3.20-3.23
8 Sc 0.8330 0.6659 0.2500  4 Mg 3.19-3.22, 8 Sc 3.20-3.23

Values from the calculation:
As for the symmetry: P6_3/mmc (194). As for the energy of formation: -8 meV per atom.


No. 11
RePHCl2 | meta-GGA SCAN | PBEsol geometry

Lattice parameters (Å, degrees): 4.8112 4.8112 4.5260 90.00 90.00 90.00
With the nearest neighbours (Å) after each atom.
Element x y z (fractional)
1 Re 0.0000 0.0000 0.0000  2 P 2.26, 4 Cl 2.41
2 P 0.0000 0.0000 0.5000  2 Re 2.26
3 H 0.5000 0.5000 0.5000  8 Cl 3.30, 4 P 3.40
4 Cl 0.0000 0.5000 0.0000  2 Re 2.41
5 Cl 0.5000 0.0000 0.0000  2 Re 2.41

Values from the calculation:
As for the symmetry: P4/mmm (123).


No. 12
RbZnAs2Br | meta-GGA SCAN | PBEsol geometry

Lattice parameters (Å, degrees): 4.7396 4.7396 6.3325 90.00 90.00 90.00
With the nearest neighbours (Å) after each atom.
Element x y z (fractional)
1 Rb 0.0000 0.0000 0.0000  4 Br 3.35
2 Zn 0.5000 0.5000 0.5000  4 As 2.37
3 As 0.0000 0.5000 0.5000  2 Zn 2.37
4 As 0.5000 0.0000 0.5000  2 Zn 2.37
5 Br 0.5000 0.5000 0.0000  2 Zn 3.17, 4 Rb 3.35

Values from the calculation:
As for the symmetry: P4/mmm (123). Its raw formation energy is -0.18 eV/atom.


No. 13
MnSi2Br | meta-GGA SCAN | PBEsol geometry

Lattice parameters (Å, degrees): 5.5248 5.5248 5.5248 150.66 126.16 62.50
With the nearest neighbours (Å) after each atom.
Element x y z (fractional)
1 Mn 0.0000 0.0000 0.0000  2 Si 2.41, 2 Br 2.51
2 Si 0.2083 0.7083 0.5000  2 Mn 2.41
3 Si 0.4559 0.4559 0.0000  4 Si 2.73-2.80, 4 Mn 2.90, 2 Br 3.01
4 Br 0.7793 0.2793 0.5000  2 Mn 2.51, 2 Br 2.80

Values from the calculation:
As for the symmetry: Imm2 (44). Its raw formation energy is 0.56 eV/atom.


Number 1: magnetic moment 0.0 μB per cell, E -234.99 eV per cell. Number 2: magnetic moment 1.6 μB per cell, E -243.58 eV per cell. Number 3: magnetic moment 0.0 μB per cell, E -128.50 eV per cell. Number 4: magnetic moment 0.0 μB per cell, E -201.98 eV per cell. Number 5: magnetic moment 0.0 μB per cell, E -137.48 eV per cell. Number 6: magnetic moment 0.0 μB per cell, E -196.48 eV per cell. Number 7: magnetic moment 0.0 μB per cell, E -215.71 eV per cell. Number 8: magnetic moment 0.0 μB per cell, E -279.66 eV per cell. Number 9: magnetic moment 3.9 μB per cell, E -62.49 eV per cell. Number 10: magnetic moment 3.2 μB per cell, E -95.43 eV per cell. Number 11: magnetic moment 1.8 μB per cell, E -97.71 eV per cell. Number 12: magnetic moment 1.4 μB per cell, E -94.97 eV per cell. Number 13: magnetic moment 3.2 μB per cell, E -55.50 eV per cell.